VASP calculation (GGA-PBE) on an optimized crystal structure of Y2CuP3Ir4.

POSCAR file:
```
Y2CuP3Ir4
1.0
-2.281 3.361 0.161
-0.736 -0.308 -3.986
-7.989 -5.513 1.902
P Ir Cu Y
3 4 1 2
Direct
0.000 0.000 0.500 P
0.500 0.000 0.862 P
0.000 0.500 0.138 P
0.500 0.000 0.634 Ir
0.000 0.500 0.366 Ir
0.000 0.000 0.000 Ir
0.500 0.500 0.000 Ir
0.500 0.500 0.500 Cu
0.000 0.500 0.744 Y
0.500 0.000 0.256 Y
```

* formation energy: -0.87 eV/atom
* energy: -7.741 eV/atom
* Fermi-level density of states: 3.59 states/eV per cell

=====

VASP calculation (GGA-PBE) on an optimized crystal structure of YErRh.

POSCAR file:
```
YErRh
1.0
-3.732 -0.006 -1.452
-1.360 -2.617 3.506
-0.146 4.565 0.358
Rh Er Y
1 1 1
Direct
0.320 0.333 0.667 Rh
0.076 0.000 0.000 Er
0.604 0.667 0.333 Y
```

* formation energy: -0.40 eV/atom
* energy: -6.528 eV/atom
* Fermi-level density of states: 3.10 states/eV per cell

=====

VASP calculation (GGA-PBE) on an optimized crystal structure of MgTlW2.

POSCAR file:
```
MgTlW2
1.0
2.853 -0.011 0.000
-0.969 2.683 0.000
0.000 0.000 9.616
W Mg Tl
2 1 1
Direct
0.000 0.000 0.497 W
0.000 0.000 0.003 W
0.500 0.500 0.250 Mg
0.500 0.500 0.750 Tl
```

* formation energy: 0.83 eV/atom
* energy: -6.637 eV/atom
* Fermi-level density of states: 2.94 states/eV per cell

=====

The highest Fermi-level density of states belongs to which entry? Y2CuP3Ir4